Entry from Alexandria via LeMat-Bulk: a relaxed Ni2IrS4 crystal (GGA-PBE).

Structure (POSCAR):
```
Ni2IrS4
1.0
-0.361 -3.210 3.503
2.115 -3.254 -2.764
5.755 -1.689 2.286
Ni S Ir
2 4 1
Direct
0.395 0.395 0.209
0.605 0.605 0.791
0.209 0.209 0.583
0.791 0.791 0.417
0.000 0.500 0.000
0.500 0.000 0.000
0.000 0.000 0.000
```

Computed properties:
**Space group**: I4/mmm (139)
**ΔE_f (raw)**: 357 meV/atom
**E above lowest polymorph**: 734 meV/atom



Entry from Alexandria via LeMat-Bulk: a relaxed NaMg4Tl3 crystal (GGA-PBE).

Structure (POSCAR):
```
NaMg4Tl3
1.0
4.971 0.000 1.467
2.269 4.423 1.467
0.021 0.013 9.083
Na Mg Tl
1 4 3
Direct
0.000 0.000 0.000
0.871 0.871 0.386
0.381 0.381 0.857
0.129 0.129 0.614
0.619 0.619 0.143
0.258 0.258 0.225
0.742 0.742 0.775
0.500 0.500 0.500
```

Computed properties:
**Space group**: R-3m (166)
**Formation enthalpy at 0 K**: -0.024 eV per atom



Entry from Alexandria via LeMat-Bulk: a relaxed NdGeO crystal (GGA-PBE).

Structure (POSCAR):
```
NdGeO
1.0
3.916 0.000 0.785
1.879 3.436 0.788
0.266 0.151 8.836
Nd Ge O
2 2 2
Direct
0.391 0.391 0.826
0.609 0.609 0.174
0.854 0.854 0.438
0.146 0.146 0.562
0.701 0.701 0.897
0.299 0.299 0.103
```

Computed properties:
**Space group**: R-3m (166)
**ΔE_f (raw)**: -2077 meV/atom
**E above lowest polymorph**: 0 meV/atom